[1]
# PBE-GGA BaMnAlP, optimized geometry
# DOS at the Fermi energy = 6.18 states/eV per cell
# DFT formation energy = -44.09 kJ/mol of atoms
# ρ = 4.515 Mg/m³
data_BaMnAlP
_cell_length_a 3.831
_cell_length_b 3.831
_cell_length_c 12.542
_cell_angle_alpha 90.00
_cell_angle_beta 90.00
_cell_angle_gamma 90.00
_symmetry_space_group_name_H-M 'P 4/n m m'
_symmetry_Int_Tables_number 129
loop_
_symmetry_equiv_pos_as_xyz
'x,y,z'
'-x,-y,-z'
'-y+1/2,x,z'
'y+1/2,-x,-z'
'-x+1/2,-y+1/2,z'
'x+1/2,y+1/2,-z'
'y,-x+1/2,z'
'-y,x+1/2,-z'
'x+1/2,-y,-z'
'-x+1/2,y,z'
'-y,-x,-z'
'y,x,z'
'-x,y+1/2,-z'
'x,-y+1/2,z'
'y+1/2,x+1/2,-z'
'-y+1/2,-x+1/2,z'
loop_
_atom_site_label
_atom_site_type_symbol
_atom_site_fract_x
_atom_site_fract_y
_atom_site_fract_z
_atom_site_occupancy
Ba1 Ba 0.250 0.250 0.244 1
Mn1 Mn 0.250 0.750 0.000 1
Al1 Al 0.250 0.750 0.500 1
P1 P 0.250 0.250 0.898 1

***

[2]
# PBE-GGA BaMnAlPb2, optimized geometry
# DOS at the Fermi energy = 3.63 states/eV per cell
# DFT formation energy = 33.92 kJ/mol of atoms
# ρ = 6.640 Mg/m³
data_BaMnAlPb2
_cell_length_a 5.246
_cell_length_b 5.246
_cell_length_c 5.758
_cell_angle_alpha 90.00
_cell_angle_beta 90.00
_cell_angle_gamma 90.00
_symmetry_space_group_name_H-M 'P 4/m m m'
_symmetry_Int_Tables_number 123
_symmetry_space_group_name_Hall '-P 4 2'
loop_
_atom_site_label
_atom_site_type_symbol
_atom_site_fract_x
_atom_site_fract_y
_atom_site_fract_z
_atom_site_occupancy
Ba1 Ba 0.000 0.000 0.000 1
Mn1 Mn 0.000 0.000 0.500 1
Al1 Al 0.500 0.500 0.000 1
Pb1 Pb 0.000 0.500 0.500 1

***

[3]
# PBE-GGA BaMnAl2Pd, optimized geometry
# DOS at the Fermi energy = 3.72 states/eV per cell
# DFT formation energy = 44.20 kJ/mol of atoms
# ρ = 5.012 Mg/m³
data_BaMnAl2Pd
_cell_length_a 4.693
_cell_length_b 4.693
_cell_length_c 5.305
_cell_angle_alpha 90.00
_cell_angle_beta 90.00
_cell_angle_gamma 90.00
_symmetry_space_group_name_H-M 'P 4/m m m'
_symmetry_Int_Tables_number 123
_symmetry_space_group_name_Hall '-P 4 2'
loop_
_atom_site_label
_atom_site_type_symbol
_atom_site_fract_x
_atom_site_fract_y
_atom_site_fract_z
_atom_site_occupancy
Ba1 Ba 0.000 0.000 0.000 1
Mn1 Mn 0.000 0.000 0.500 1
Al1 Al 0.000 0.500 0.500 1
Pd1 Pd 0.500 0.500 0.000 1

***

[4]
# PBE-GGA Ba2MnAl2S6, optimized geometry
# DOS at the Fermi energy = 1.61 states/eV per cell
# energy relative to the elements, uncorrected = -1.1847 eV/atom
# ρ = 3.282 Mg/m³
data_Ba2MnAl2S6
_cell_length_a 7.0263
_cell_length_b 7.0263
_cell_length_c 20.4475
_cell_angle_alpha 90.00
_cell_angle_beta 90.00
_cell_angle_gamma 120.00
_symmetry_space_group_name_H-M 'R -3 m'
_symmetry_Int_Tables_number 166
_symmetry_space_group_name_Hall '-R 3 2"'
loop_
_atom_site_label
_atom_site_type_symbol
_atom_site_fract_x
_atom_site_fract_y
_atom_site_fract_z
_atom_site_occupancy
Ba1 Ba 0.0000 0.0000 0.2169 1
Mn1 Mn 0.0000 0.0000 0.0000 1
Al1 Al 0.0000 0.0000 0.4186 1
S1 S 0.0211 0.5106 0.7516 1

***

[5]
# PBE-GGA Ba2MnAlSb, optimized geometry
# DOS at the Fermi energy = 8.73 states/eV per cell
# energy relative to the elements, uncorrected = 0.3024 eV/atom
# ρ = 4.720 Mg/m³
data_Ba2MnAlSb
_cell_length_a 5.855
_cell_length_b 5.855
_cell_length_c 4.910
_cell_angle_alpha 90.00
_cell_angle_beta 90.00
_cell_angle_gamma 90.00
_symmetry_space_group_name_H-M 'P 4/m m m'
_symmetry_Int_Tables_number 123
_symmetry_space_group_name_Hall '-P 4 2'
loop_
_atom_site_label
_atom_site_type_symbol
_atom_site_fract_x
_atom_site_fract_y
_atom_site_fract_z
_atom_site_occupancy
Ba1 Ba 0.000 0.500 0.000 1
Mn1 Mn 0.000 0.000 0.000 1
Al1 Al 0.500 0.500 0.500 1
Sb1 Sb 0.000 0.000 0.500 1

***

[6]
# PBE-GGA Ba2MnAlTe5, optimized geometry
# DOS at the Fermi energy = 13.19 states/eV per cell
# energy relative to the elements, uncorrected = -0.9145 eV/atom
# ρ = 5.252 Mg/m³
data_Ba2MnAlTe5
_cell_length_a 4.440
_cell_length_b 20.421
_cell_length_c 13.873
_cell_angle_alpha 90.00
_cell_angle_beta 90.00
_cell_angle_gamma 90.00
_symmetry_space_group_name_H-M 'C m c 21'
_symmetry_Int_Tables_number 36
loop_
_symmetry_equiv_pos_as_xyz
'x,y,z'
'-x,-y,z+1/2'
'-x,y,z'
'x,-y,z+1/2'
'x+1/2,y+1/2,z'
'-x+1/2,-y+1/2,z+1/2'
'-x+1/2,y+1/2,z'
'x+1/2,-y+1/2,z+1/2'
loop_
_atom_site_label
_atom_site_type_symbol
_atom_site_fract_x
_atom_site_fract_y
_atom_site_fract_z
_atom_site_occupancy
Ba1 Ba 0.000 0.122 0.000 1
Ba2 Ba 0.000 0.129 0.622 1
Mn1 Mn 0.000 0.210 0.337 1
Al1 Al 0.000 0.427 0.745 1
Te1 Te 0.000 0.066 0.356 1
Te2 Te 0.000 0.288 0.965 1
Te3 Te 0.000 0.303 0.690 1
Te4 Te 0.000 0.343 0.314 1
Te5 Te 0.000 0.498 0.590 1

***

[7]
# PBE-GGA BaTi2MnAl, optimized geometry
# DOS at the Fermi energy = 7.97 states/eV per cell
# DFT formation energy = 76.62 kJ/mol of atoms
# ρ = 4.477 Mg/m³
data_BaTi2MnAl
_cell_length_a 4.689
_cell_length_b 4.689
_cell_length_c 5.314
_cell_angle_alpha 90.00
_cell_angle_beta 90.00
_cell_angle_gamma 90.00
_symmetry_space_group_name_H-M 'P 4/m m m'
_symmetry_Int_Tables_number 123
_symmetry_space_group_name_Hall '-P 4 2'
loop_
_atom_site_label
_atom_site_type_symbol
_atom_site_fract_x
_atom_site_fract_y
_atom_site_fract_z
_atom_site_occupancy
Ba1 Ba 0.000 0.000 0.000 1
Ti1 Ti 0.000 0.500 0.500 1
Mn1 Mn 0.000 0.000 0.500 1
Al1 Al 0.500 0.500 0.000 1

***

[8]
# PBE-GGA BaAl2Mo, optimized geometry
# DOS at the Fermi energy = 12.19 states/eV per cell
# DFT formation energy = 77.35 kJ/mol of atoms
# ρ = 5.580 Mg/m³
data_BaAl2Mo
_cell_length_a 4.956
_cell_length_b 4.956
_cell_length_c 6.961
_cell_angle_alpha 90.00
_cell_angle_beta 90.00
_cell_angle_gamma 90.00
_symmetry_space_group_name_H-M 'I -4 m 2'
_symmetry_Int_Tables_number 119
_symmetry_space_group_name_Hall 'I -4 -2'
loop_
_atom_site_label
_atom_site_type_symbol
_atom_site_fract_x
_atom_site_fract_y
_atom_site_fract_z
_atom_site_occupancy
Ba1 Ba 0.000 0.000 0.000 1
Al1 Al 0.000 0.000 0.500 1
Al2 Al 0.000 0.500 0.750 1
Mo1 Mo 0.000 0.500 0.250 1